Record 1
Entry from the Alexandria database: TlAgCl2 at its PBEsol-relaxed geometry (SCAN).

Calculated values
ρ   6.619 Mg/m³
E_form (uncorrected)   -2.97 eV per formula unit
SG   Immm, No. 71
Electronic total energy   -30.664 eV/atom
Total magnetization   0.000 μB per atom

Lattice parameters (Å, degrees): 3.993 5.921 8.133 90.00 90.00 90.00
Positions (direct):
Tl 0.000 0.000 0.000
Tl 0.500 0.500 0.500
Ag 0.000 0.000 0.500
Ag 0.500 0.500 0.000
Cl 0.000 0.500 0.204
Cl 0.000 0.500 0.796
Cl 0.500 0.000 0.296
Cl 0.500 0.000 0.704



Record 2
Entry from the Alexandria database: TlAgCl2 at its PBEsol-relaxed geometry (SCAN).

Calculated values
ρ   5.934 Mg/m³
E_form (uncorrected)   -2.95 eV per formula unit
SG   P4mm, No. 99
Electronic total energy   -30.659 eV/atom
Total magnetization   0.000 μB per atom

Lattice parameters (Å, degrees): 3.737 3.737 7.679 90.00 90.00 90.00
Positions (direct):
Tl 0.000 0.000 0.000
Ag 0.500 0.500 0.522
Cl 0.000 0.000 0.587
Cl 0.500 0.500 0.187



Record 3
Entry from the Alexandria database: TlAgCl2 at its PBEsol-relaxed geometry (SCAN).

Calculated values
ρ   6.041 Mg/m³
E_form (uncorrected)   -2.95 eV per formula unit
SG   Cm, No. 8
Electronic total energy   -30.659 eV/atom
Total magnetization   0.000 μB per atom

Lattice parameters (Å, degrees): 14.084 3.813 4.049 90.00 104.36 90.00
Positions (direct):
Tl 0.000 0.000 0.000
Tl 0.500 0.500 0.000
Ag 0.271 0.500 0.492
Ag 0.771 0.000 0.492
Cl 0.168 0.000 0.639
Cl 0.389 0.000 0.386
Cl 0.668 0.500 0.639
Cl 0.889 0.500 0.386



Record 4
Entry from the Alexandria database: TlAgCl2 at its PBEsol-relaxed geometry (SCAN).

Calculated values
ρ   6.477 Mg/m³
E_form (uncorrected)   -3.15 eV per formula unit
SG   R3m, No. 160
Electronic total energy   -30.707 eV/atom
Total magnetization   0.000 μB per atom

Lattice parameters (Å, degrees): 4.016 4.016 21.102 90.00 90.00 120.00
Positions (direct):
Tl 0.000 0.000 0.000
Tl 0.333 0.667 0.667
Tl 0.667 0.333 0.333
Ag 0.000 0.000 0.167
Ag 0.333 0.667 0.834
Ag 0.667 0.333 0.500
Cl 0.000 0.000 0.569
Cl 0.000 0.000 0.767
Cl 0.333 0.667 0.235
Cl 0.333 0.667 0.434
Cl 0.667 0.333 0.100
Cl 0.667 0.333 0.902



Record 5
Entry from the Alexandria database: TlAg2Cl at its PBEsol-relaxed geometry (SCAN).

Calculated values
ρ   8.761 Mg/m³
E_form (uncorrected)   0.24 eV per formula unit
Distance to the lowest polymorph of the same formula   236 meV/atom
SG   F-43m, No. 216
Electronic total energy   -35.707 eV/atom
Total magnetization   0.000 μB per atom

Lattice parameters (Å, degrees): 7.016 7.016 7.016 90.00 90.00 90.00
Positions (direct):
Tl 0.000 0.000 0.000
Tl 0.000 0.500 0.500
Tl 0.500 0.000 0.500
Tl 0.500 0.500 0.000
Ag 0.000 0.000 0.500
Ag 0.000 0.500 0.000
Ag 0.250 0.250 0.250
Ag 0.250 0.750 0.750
Ag 0.500 0.000 0.000
Ag 0.500 0.500 0.500
Ag 0.750 0.250 0.750
Ag 0.750 0.750 0.250
Cl 0.250 0.250 0.750
Cl 0.250 0.750 0.250
Cl 0.750 0.250 0.250
Cl 0.750 0.750 0.750



Record 6
Entry from the Alexandria database: TlAgCl3 at its PBEsol-relaxed geometry (SCAN).

Calculated values
ρ   5.666 Mg/m³
E_form (uncorrected)   -3.78 eV per formula unit
SG   R3c, No. 161
Electronic total energy   -26.287 eV/atom
Total magnetization   0.000 μB per atom

Lattice parameters (Å, degrees): 6.993 6.993 6.993 60.65 60.65 60.65
Positions (direct):
Tl 0.000 0.000 0.000
Tl 0.500 0.500 0.500
Ag 0.250 0.250 0.250
Ag 0.750 0.750 0.750
Cl 0.000 0.465 0.536
Cl 0.036 0.965 0.500
Cl 0.465 0.536 0.000
Cl 0.500 0.036 0.965
Cl 0.536 0.000 0.465
Cl 0.965 0.500 0.036



Record 7
Entry from the Alexandria database: TlAgCl2 at its PBEsol-relaxed geometry (SCAN).

Calculated values
ρ   6.543 Mg/m³
E_form (uncorrected)   -2.99 eV per formula unit
SG   Imm2, No. 44
Electronic total energy   -30.668 eV/atom
Total magnetization   0.000 μB per atom

Lattice parameters (Å, degrees): 3.573 3.779 14.401 90.00 90.00 90.00
Positions (direct):
Tl 0.000 0.000 0.000
Tl 0.500 0.500 0.500
Ag 0.000 0.500 0.742
Ag 0.500 0.000 0.242
Cl 0.000 0.000 0.387
Cl 0.000 0.500 0.179
Cl 0.500 0.000 0.679
Cl 0.500 0.500 0.887



Record 8
Entry from the Alexandria database: TlAgCl2 at its PBEsol-relaxed geometry (SCAN).

Calculated values
ρ   6.459 Mg/m³
E_form (uncorrected)   -3.17 eV per formula unit
SG   R-3m, No. 166
Electronic total energy   -30.714 eV/atom
Total magnetization   0.000 μB per atom

Lattice parameters (Å, degrees): 4.070 4.070 20.604 90.00 90.00 120.00
Positions (direct):
Tl 0.000 0.000 0.000
Tl 0.333 0.667 0.667
Tl 0.667 0.333 0.333
Ag 0.000 0.000 0.500
Ag 0.333 0.667 0.167
Ag 0.667 0.333 0.833
Cl 0.000 0.000 0.234
Cl 0.000 0.000 0.766
Cl 0.333 0.667 0.433
Cl 0.333 0.667 0.901
Cl 0.667 0.333 0.099
Cl 0.667 0.333 0.567



Record 9
Entry from the Alexandria database: TlAgCl2 at its PBEsol-relaxed geometry (SCAN).

Calculated values
ρ   6.336 Mg/m³
E_form (uncorrected)   -3.15 eV per formula unit
SG   I-42d, No. 122
Electronic total energy   -30.707 eV/atom
Total magnetization   0.000 μB per atom

Lattice parameters (Å, degrees): 7.543 7.543 7.059 90.00 90.00 90.00
Positions (direct):
Tl 0.000 0.000 0.000
Tl 0.000 0.500 0.250
Tl 0.500 0.000 0.750
Tl 0.500 0.500 0.500
Ag 0.000 0.000 0.500
Ag 0.000 0.500 0.750
Ag 0.500 0.000 0.250
Ag 0.500 0.500 0.000
Cl 0.191 0.750 0.625
Cl 0.250 0.191 0.375
Cl 0.250 0.309 0.875
Cl 0.309 0.750 0.125
Cl 0.691 0.250 0.125
Cl 0.750 0.691 0.875
Cl 0.750 0.809 0.375
Cl 0.809 0.250 0.625



Record 10
Entry from the Alexandria database: Tl3AgCl at its PBEsol-relaxed geometry (SCAN).

Calculated values
ρ   8.005 Mg/m³
E_form (uncorrected)   -0.82 eV per formula unit
SG   Pm-3m, No. 221
Electronic total energy   -51.449 eV/atom
Total magnetization   0.000 μB per atom

Lattice parameters (Å, degrees): 5.394 5.394 5.394 90.00 90.00 90.00
Positions (direct):
Tl 0.000 0.000 0.500
Tl 0.000 0.500 0.000
Tl 0.500 0.000 0.000
Ag 0.000 0.000 0.000
Cl 0.500 0.500 0.500



Record 11
Entry from the Alexandria database: TlAg2Cl at its PBEsol-relaxed geometry (SCAN).

Calculated values
ρ   9.135 Mg/m³
E_form (uncorrected)   0.36 eV per formula unit
Distance to the lowest polymorph of the same formula   264 meV/atom
SG   Fm-3m, No. 225
Electronic total energy   -35.678 eV/atom
Total magnetization   0.000 μB per atom

Lattice parameters (Å, degrees): 6.919 6.919 6.919 90.00 90.00 90.00
Positions (direct):
Tl 0.000 0.000 0.000
Tl 0.000 0.500 0.500
Tl 0.500 0.000 0.500
Tl 0.500 0.500 0.000
Ag 0.250 0.250 0.250
Ag 0.250 0.250 0.750
Ag 0.250 0.750 0.250
Ag 0.250 0.750 0.750
Ag 0.750 0.250 0.250
Ag 0.750 0.250 0.750
Ag 0.750 0.750 0.250
Ag 0.750 0.750 0.750
Cl 0.000 0.000 0.500
Cl 0.000 0.500 0.000
Cl 0.500 0.000 0.000
Cl 0.500 0.500 0.500



Record 12
Entry from the Alexandria database: TlAg2Cl at its PBEsol-relaxed geometry (SCAN).

Calculated values
ρ   8.821 Mg/m³
E_form (uncorrected)   -0.70 eV per formula unit
Distance to the lowest polymorph of the same formula   0 meV/atom
SG   Pm, No. 6
Electronic total energy   -35.942 eV/atom
Total magnetization   0.000 μB per atom

Lattice parameters (Å, degrees): 3.311 3.319 7.977 90.00 101.90 90.00
Positions (direct):
Tl 0.000 0.000 0.000
Ag 0.362 0.500 0.721
Ag 0.766 0.000 0.527
Cl 0.633 0.500 0.268



Record 13
Entry from the Alexandria database: AgWCl2 at its PBEsol-relaxed geometry (SCAN).

Calculated values
ρ   7.729 Mg/m³
E_form (uncorrected)   0.85 eV per formula unit
Distance to the lowest polymorph of the same formula   148 meV/atom
SG   R-3m, No. 166
Electronic total energy   -29.041 eV/atom
Total magnetization   0.000 μB per atom

Lattice parameters (Å, degrees): 2.974 2.974 30.518 90.00 90.00 120.00
Positions (direct):
Ag 0.000 0.000 0.000
Ag 0.333 0.667 0.667
Ag 0.667 0.333 0.333
W 0.000 0.000 0.500
W 0.333 0.667 0.167
W 0.667 0.333 0.833
Cl 0.000 0.000 0.427
Cl 0.000 0.000 0.573
Cl 0.333 0.667 0.093
Cl 0.333 0.667 0.240
Cl 0.667 0.333 0.760
Cl 0.667 0.333 0.907



Record 14
Entry from the Alexandria database: AgW2Cl at its PBEsol-relaxed geometry (SCAN).

Calculated values
ρ   12.659 Mg/m³
E_form (uncorrected)   1.60 eV per formula unit
Distance to the lowest polymorph of the same formula   0 meV/atom
SG   Cmm2, No. 35
Electronic total energy   -44.280 eV/atom
Total magnetization   0.000 μB per atom

Lattice parameters (Å, degrees): 3.174 4.767 8.860 90.00 90.00 90.00
Positions (direct):
Ag 0.000 0.000 0.000
Ag 0.500 0.500 0.000
W 0.000 0.000 0.488
W 0.000 0.500 0.262
W 0.500 0.000 0.262
W 0.500 0.500 0.488
Cl 0.000 0.500 0.723
Cl 0.500 0.000 0.723